*1*
An optimized crystal structure of Mg8InRh2. Source: the Alexandria database, functional GGA-PBE.

The calculation puts the total magnetization at 0.00 μB/f.u. Its symmetry is No. 1.

a = 4.7124 Å, b = 6.5604 Å, c = 8.0846 Å
α = 113.22°, β = 105.45°, γ = 92.00°
Fractional positions:
1 Mg 0.0000 0.0000 0.0000
2 Mg 0.0244 0.4818 0.0603
3 Mg 0.2196 0.3573 0.4181
4 Mg 0.3761 0.8767 0.6553
5 Mg 0.4521 0.5918 0.8886
6 Mg 0.6206 0.0754 0.2484
7 Mg 0.6486 0.6552 0.3082
8 Mg 0.9183 0.1423 0.6547
9 In 0.8453 0.5826 0.6538
10 Rh 0.1499 0.9125 0.3273
11 Rh 0.4789 0.2412 0.9825



*2*
An optimized crystal structure of Mg8InRh2. Source: the Alexandria database, functional GGA-PBE.

The calculation puts the total magnetization at 0.00 μB/f.u. Its symmetry is No. 12.

a = 7.1873 Å, b = 7.1873 Å, c = 4.9253 Å
α = 96.36°, β = 96.36°, γ = 110.84°
Fractional positions:
1 Mg 0.1246 0.1246 0.8134
2 Mg 0.1747 0.4473 0.4263
3 Mg 0.2436 0.7564 0.0000
4 Mg 0.4473 0.1747 0.4263
5 Mg 0.5527 0.8253 0.5737
6 Mg 0.7564 0.2436 0.0000
7 Mg 0.8253 0.5527 0.5737
8 Mg 0.8754 0.8754 0.1866
9 In 0.5000 0.5000 0.0000
10 Rh 0.1740 0.8260 0.5000
11 Rh 0.8260 0.1740 0.5000



Ordering by calculated energy gives the sequence *2*, *1*, with the first entry being the most stable.



*1*
An optimized crystal structure of Mg6In3Rh. Source: the Alexandria database, functional GGA-PBE.

The calculation puts the total magnetization at 0.00 μB/f.u. Its symmetry is No. 12.

a = 5.9549 Å, b = 5.9549 Å, c = 7.6668 Å
α = 107.38°, β = 107.38°, γ = 60.24°
Fractional positions:
1 Mg 0.1056 0.6242 0.6802
2 Mg 0.1536 0.1536 0.8845
3 Mg 0.3758 0.8944 0.3198
4 Mg 0.6242 0.1056 0.6802
5 Mg 0.8464 0.8464 0.1155
6 Mg 0.8944 0.3758 0.3198
7 In 0.3808 0.3808 0.3165
8 In 0.5000 0.5000 0.0000
9 In 0.6192 0.6192 0.6835
10 Rh 0.0000 0.0000 0.5000



*2*
An optimized crystal structure of Mg6In3Rh. Source: the Alexandria database, functional GGA-PBE.

The calculation puts the total magnetization at 0.00 μB/f.u. Its symmetry is No. 58.

a = 8.6396 Å, b = 11.2475 Å, c = 4.6090 Å
α = 90.00°, β = 90.00°, γ = 90.00°
Fractional positions:
1 Mg 0.0128 0.2340 0.0000
2 Mg 0.1476 0.0560 0.5000
3 Mg 0.2118 0.3860 0.5000
4 Mg 0.2882 0.8860 0.0000
5 Mg 0.3524 0.5560 0.0000
6 Mg 0.4872 0.7340 0.5000
7 Mg 0.5128 0.2660 0.5000
8 Mg 0.6476 0.4440 0.0000
9 Mg 0.7118 0.1140 0.0000
10 Mg 0.7882 0.6140 0.5000
11 Mg 0.8524 0.9440 0.5000
12 Mg 0.9872 0.7660 0.0000
13 In 0.0000 0.5000 0.0000
14 In 0.1648 0.6652 0.5000
15 In 0.3352 0.1652 0.0000
16 In 0.5000 0.0000 0.5000
17 In 0.6648 0.8348 0.0000
18 In 0.8352 0.3348 0.5000
19 Rh 0.0000 0.0000 0.0000
20 Rh 0.5000 0.5000 0.5000



Ordering by calculated energy gives the sequence *2*, *1*, with the first entry being the most stable.



*1*
An optimized crystal structure of MgInS3. Source: the Alexandria database, functional GGA-PBE.

The calculation puts the total magnetization at 2.47 μB/f.u. Its symmetry is No. 221.

a = 4.8714 Å, b = 4.8714 Å, c = 4.8714 Å
α = 90.00°, β = 90.00°, γ = 90.00°
Fractional positions:
1 Mg 0.0000 0.0000 0.0000
2 In 0.5000 0.5000 0.5000
3 S 0.0000 0.0000 0.5000
4 S 0.0000 0.5000 0.0000
5 S 0.5000 0.0000 0.0000



*2*
An optimized crystal structure of MgInS3. Source: the Alexandria database, functional GGA-PBE.

The calculation puts the total magnetization at 0.00 μB/f.u. Its symmetry is No. 12.

a = 6.7972 Å, b = 6.7972 Å, c = 6.4971 Å
α = 104.46°, β = 104.46°, γ = 120.07°
Fractional positions:
1 Mg 0.1710 0.8290 0.0000
2 Mg 0.8290 0.1710 0.0000
3 In 0.3372 0.3372 0.6495
4 In 0.6628 0.6628 0.3505
5 S 0.0188 0.3720 0.7372
6 S 0.2500 0.2500 0.2255
7 S 0.3720 0.0188 0.7372
8 S 0.6280 0.9812 0.2628
9 S 0.7500 0.7500 0.7745
10 S 0.9812 0.6280 0.2628



*3*
An optimized crystal structure of MgInS3. Source: the Alexandria database, functional GGA-PBE.

The calculation puts the total magnetization at 0.00 μB/f.u. Its symmetry is No. 188.

a = 6.0604 Å, b = 6.0604 Å, c = 6.5415 Å
α = 90.00°, β = 90.00°, γ = 120.00°
Fractional positions:
1 Mg 0.0000 0.0000 0.0000
2 Mg 0.0000 0.0000 0.5000
3 In 0.6667 0.3333 0.0000
4 In 0.6667 0.3333 0.5000
5 S 0.0189 0.3470 0.2500
6 S 0.0189 0.6720 0.7500
7 S 0.3280 0.3470 0.7500
8 S 0.3280 0.9811 0.2500
9 S 0.6530 0.6720 0.2500
10 S 0.6530 0.9811 0.7500



Ordering by calculated energy gives the sequence *2*, *3*, *1*, with the first entry being the most stable.



*1*
An optimized crystal structure of MgIn2Sb. Source: the Alexandria database, functional GGA-PBE.

The calculation puts the total magnetization at 0.00 μB/f.u. Its symmetry is No. 122.

a = 8.6453 Å, b = 8.6453 Å, c = 5.9875 Å
α = 90.00°, β = 90.00°, γ = 90.00°
Fractional positions:
1 Mg 0.0000 0.0000 0.0000
2 Mg 0.0000 0.5000 0.2500
3 Mg 0.5000 0.0000 0.7500
4 Mg 0.5000 0.5000 0.5000
5 In 0.2278 0.2500 0.6250
6 In 0.2500 0.7278 0.8750
7 In 0.2500 0.7722 0.3750
8 In 0.2722 0.2500 0.1250
9 In 0.7278 0.7500 0.1250
10 In 0.7500 0.2278 0.3750
11 In 0.7500 0.2722 0.8750
12 In 0.7722 0.7500 0.6250
13 Sb 0.0000 0.0000 0.5000
14 Sb 0.0000 0.5000 0.7500
15 Sb 0.5000 0.0000 0.2500
16 Sb 0.5000 0.5000 0.0000



*2*
An optimized crystal structure of MgIn2Sb. Source: the Alexandria database, functional GGA-PBE.

The calculation puts the total magnetization at 0.00 μB/f.u. Its symmetry is No. 25.

a = 3.3585 Å, b = 4.2657 Å, c = 7.3168 Å
α = 90.00°, β = 90.00°, γ = 90.00°
Fractional positions:
1 Mg 0.0000 0.0000 0.0000
2 In 0.0000 0.0000 0.4942
3 In 0.5000 0.5000 0.7500
4 Sb 0.5000 0.5000 0.1988



Ordering by calculated energy gives the sequence *2*, *1*, with the first entry being the most stable.



*1*
An optimized crystal structure of MgIn2Sb2. Source: the Alexandria database, functional GGA-PBE.

The calculation puts the total magnetization at 0.00 μB/f.u. Its symmetry is No. 127.

a = 8.2405 Å, b = 8.2405 Å, c = 4.0183 Å
α = 90.00°, β = 90.00°, γ = 90.00°
Fractional positions:
1 Mg 0.0000 0.0000 0.0000
2 Mg 0.5000 0.5000 0.0000
3 In 0.1388 0.3612 0.0000
4 In 0.3612 0.8612 0.0000
5 In 0.6388 0.1388 0.0000
6 In 0.8612 0.6388 0.0000
7 Sb 0.1601 0.6601 0.5000
8 Sb 0.3399 0.1601 0.5000
9 Sb 0.6601 0.8399 0.5000
10 Sb 0.8399 0.3399 0.5000



*2*
An optimized crystal structure of MgIn2Sb2. Source: the Alexandria database, functional GGA-PBE.

The calculation puts the total magnetization at 0.00 μB/f.u. Its symmetry is No. 139.

a = 4.4025 Å, b = 4.4025 Å, c = 15.5880 Å
α = 90.00°, β = 90.00°, γ = 90.00°
Fractional positions:
1 Mg 0.0000 0.0000 0.0000
2 Mg 0.5000 0.5000 0.5000
3 In 0.0000 0.0000 0.4033
4 In 0.0000 0.0000 0.5967
5 In 0.5000 0.5000 0.0967
6 In 0.5000 0.5000 0.9033
7 Sb 0.0000 0.5000 0.2500
8 Sb 0.0000 0.5000 0.7500
9 Sb 0.5000 0.0000 0.2500
10 Sb 0.5000 0.0000 0.7500



*3*
An optimized crystal structure of MgIn2Sb2. Source: the Alexandria database, functional GGA-PBE.

The calculation puts the total magnetization at 0.00 μB/f.u. Its symmetry is No. 139.

a = 4.1626 Å, b = 4.1626 Å, c = 16.5445 Å
α = 90.00°, β = 90.00°, γ = 90.00°
Fractional positions:
1 Mg 0.0000 0.0000 0.0000
2 Mg 0.5000 0.5000 0.5000
3 In 0.0000 0.5000 0.2500
4 In 0.0000 0.5000 0.7500
5 In 0.5000 0.0000 0.2500
6 In 0.5000 0.0000 0.7500
7 Sb 0.0000 0.0000 0.4132
8 Sb 0.0000 0.0000 0.5868
9 Sb 0.5000 0.5000 0.0868
10 Sb 0.5000 0.5000 0.9132



Ordering by calculated energy gives the sequence *3*, *1*, *2*, with the first entry being the most stable.



*1*
An optimized crystal structure of MgSc3In. Source: the Alexandria database, functional GGA-PBE.

The calculation puts the total magnetization at 0.11 μB/f.u. Its symmetry is No. 15.

a = 7.8847 Å, b = 7.8847 Å, c = 10.2333 Å
α = 120.03°, β = 120.03°, γ = 69.79°
Fractional positions:
1 Mg 0.0600 0.6625 0.6928
2 Mg 0.3375 0.9400 0.8072
3 Mg 0.6625 0.0600 0.1928
4 Mg 0.9400 0.3375 0.3072
5 Sc 0.1370 0.4471 0.9258
6 Sc 0.1654 0.1754 0.5913
7 Sc 0.1754 0.1654 0.0913
8 Sc 0.2603 0.5762 0.4284
9 Sc 0.4238 0.7397 0.0716
10 Sc 0.4471 0.1370 0.4258
11 Sc 0.5529 0.8630 0.5742
12 Sc 0.5762 0.2603 0.9284
13 Sc 0.7397 0.4238 0.5716
14 Sc 0.8246 0.8346 0.9087
15 Sc 0.8346 0.8246 0.4087
16 Sc 0.8630 0.5529 0.0742
17 In 0.1325 0.8675 0.2500
18 In 0.4910 0.5090 0.7500
19 In 0.5090 0.4910 0.2500
20 In 0.8675 0.1325 0.7500



*2*
An optimized crystal structure of MgSc3In. Source: the Alexandria database, functional GGA-PBE.

The calculation puts the total magnetization at 0.24 μB/f.u. Its symmetry is No. 63.

a = 10.7283 Å, b = 10.7283 Å, c = 4.6933 Å
α = 90.00°, β = 90.00°, γ = 154.71°
Fractional positions:
1 Mg 0.1508 0.8492 0.7500
2 Mg 0.8492 0.1508 0.2500
3 Sc 0.0513 0.9487 0.2500
4 Sc 0.2500 0.7500 0.2500
5 Sc 0.4460 0.5540 0.2500
6 Sc 0.5540 0.4460 0.7500
7 Sc 0.7500 0.2500 0.7500
8 Sc 0.9487 0.0513 0.7500
9 In 0.3466 0.6534 0.7500
10 In 0.6534 0.3466 0.2500



Ordering by calculated energy gives the sequence *2*, *1*, with the first entry being the most stable.



*1*
An optimized crystal structure of MgSc2In3. Source: the Alexandria database, functional GGA-PBE.

The calculation puts the total magnetization at 0.00 μB/f.u. Its symmetry is No. 65.

a = 4.3029 Å, b = 13.9684 Å, c = 4.4933 Å
α = 90.00°, β = 90.00°, γ = 90.00°
Fractional positions:
1 Mg 0.0000 0.0000 0.0000
2 Mg 0.5000 0.5000 0.0000
3 Sc 0.0000 0.1604 0.5000
4 Sc 0.0000 0.8396 0.5000
5 Sc 0.5000 0.3396 0.5000
6 Sc 0.5000 0.6604 0.5000
7 In 0.0000 0.3308 0.0000
8 In 0.0000 0.5000 0.5000
9 In 0.0000 0.6692 0.0000
10 In 0.5000 0.0000 0.5000
11 In 0.5000 0.1692 0.0000
12 In 0.5000 0.8308 0.0000



*2*
An optimized crystal structure of MgSc2In3. Source: the Alexandria database, functional GGA-PBE.

The calculation puts the total magnetization at 0.00 μB/f.u. Its symmetry is No. 15.

a = 8.4744 Å, b = 8.4744 Å, c = 5.9193 Å
α = 103.94°, β = 103.94°, γ = 42.50°
Fractional positions:
1 Mg 0.1162 0.8838 0.7500
2 Mg 0.8838 0.1162 0.2500
3 Sc 0.2059 0.4515 0.4262
4 Sc 0.4515 0.2059 0.9262
5 Sc 0.5485 0.7941 0.0738
6 Sc 0.7941 0.5485 0.5738
7 In 0.0365 0.2897 0.0520
8 In 0.2897 0.0365 0.5520
9 In 0.3934 0.6066 0.2500
10 In 0.6066 0.3934 0.7500
11 In 0.7103 0.9635 0.4480
12 In 0.9635 0.7103 0.9480



Ordering by calculated energy gives the sequence *1*, *2*, with the first entry being the most stable.



*1*
An optimized crystal structure of MgScIn3. Source: the Alexandria database, functional GGA-PBE.

The calculation puts the total magnetization at 0.00 μB/f.u. Its symmetry is No. 221.

a = 5.5715 Å, b = 5.5715 Å, c = 5.5715 Å
α = 90.00°, β = 90.00°, γ = 90.00°
Fractional positions:
1 Mg 0.0000 0.0000 0.0000
2 Sc 0.5000 0.5000 0.5000
3 In 0.0000 0.5000 0.5000
4 In 0.5000 0.0000 0.5000
5 In 0.5000 0.5000 0.0000



*2*
An optimized crystal structure of MgScIn3. Source: the Alexandria database, functional GGA-PBE.

The calculation puts the total magnetization at 0.00 μB/f.u. Its symmetry is No. 221.

a = 5.2614 Å, b = 5.2614 Å, c = 5.2614 Å
α = 90.00°, β = 90.00°, γ = 90.00°
Fractional positions:
1 Mg 0.0000 0.0000 0.0000
2 Sc 0.5000 0.5000 0.5000
3 In 0.0000 0.0000 0.5000
4 In 0.0000 0.5000 0.0000
5 In 0.5000 0.0000 0.0000



Ordering by calculated energy gives the sequence *2*, *1*, with the first entry being the most stable.



*1*
An optimized crystal structure of MgIn2Se. Source: the Alexandria database, functional GGA-PBE.

The calculation puts the total magnetization at 0.00 μB/f.u. Its symmetry is No. 122.

a = 8.1597 Å, b = 8.1597 Å, c = 6.2324 Å
α = 90.00°, β = 90.00°, γ = 90.00°
Fractional positions:
1 Mg 0.0000 0.0000 0.0000
2 Mg 0.0000 0.5000 0.2500
3 Mg 0.5000 0.0000 0.7500
4 Mg 0.5000 0.5000 0.5000
5 In 0.2372 0.2500 0.6250
6 In 0.2500 0.7372 0.8750
7 In 0.2500 0.7628 0.3750
8 In 0.2628 0.2500 0.1250
9 In 0.7372 0.7500 0.1250
10 In 0.7500 0.2372 0.3750
11 In 0.7500 0.2628 0.8750
12 In 0.7628 0.7500 0.6250
13 Se 0.0000 0.0000 0.5000
14 Se 0.0000 0.5000 0.7500
15 Se 0.5000 0.0000 0.2500
16 Se 0.5000 0.5000 0.0000



*2*
An optimized crystal structure of MgIn2Se. Source: the Alexandria database, functional GGA-PBE.

The calculation puts the total magnetization at 0.00 μB/f.u. Its symmetry is No. 12.

a = 5.8145 Å, b = 11.1996 Å, c = 4.1850 Å
α = 90.00°, β = 133.46°, γ = 90.00°
Fractional positions:
1 Mg 0.0000 0.0000 0.0000
2 Mg 0.5000 0.5000 0.0000
3 In 0.2500 0.2500 0.5000
4 In 0.2500 0.7500 0.5000
5 In 0.7500 0.2500 0.5000
6 In 0.7500 0.7500 0.5000
7 Se 0.0000 0.5000 0.0000
8 Se 0.5000 0.0000 0.0000



Ordering by calculated energy gives the sequence *2*, *1*, with the first entry being the most stable.



*1*
An optimized crystal structure of MgIn2Se. Source: the Alexandria database, functional GGA-PBE.

The calculation puts the total magnetization at 0.00 μB/f.u. Its symmetry is No. 71.

a = 3.7202 Å, b = 3.7872 Å, c = 15.0889 Å
α = 90.00°, β = 90.00°, γ = 90.00°
Fractional positions:
1 Mg 0.0000 0.0000 0.0000
2 Mg 0.5000 0.5000 0.5000
3 In 0.0000 0.5000 0.3117
4 In 0.0000 0.5000 0.6883
5 In 0.5000 0.0000 0.1883
6 In 0.5000 0.0000 0.8117
7 Se 0.0000 0.0000 0.5000
8 Se 0.5000 0.5000 0.0000



*2*
An optimized crystal structure of MgIn2Se. Source: the Alexandria database, functional GGA-PBE.

The calculation puts the total magnetization at 0.00 μB/f.u. Its symmetry is No. 65.

a = 6.0963 Å, b = 8.4555 Å, c = 3.8862 Å
α = 90.00°, β = 90.00°, γ = 90.00°
Fractional positions:
1 Mg 0.0000 0.0000 0.0000
2 Mg 0.5000 0.5000 0.0000
3 In 0.2500 0.2500 0.5000
4 In 0.2500 0.7500 0.5000
5 In 0.7500 0.2500 0.5000
6 In 0.7500 0.7500 0.5000
7 Se 0.0000 0.5000 0.0000
8 Se 0.5000 0.0000 0.0000



*3*
An optimized crystal structure of MgIn2Se. Source: the Alexandria database, functional GGA-PBE.

The calculation puts the total magnetization at 0.00 μB/f.u. Its symmetry is No. 119.

a = 4.4785 Å, b = 4.4785 Å, c = 9.9295 Å
α = 90.00°, β = 90.00°, γ = 90.00°
Fractional positions:
1 Mg 0.0000 0.0000 0.0000
2 Mg 0.5000 0.5000 0.5000
3 In 0.0000 0.0000 0.5000
4 In 0.0000 0.5000 0.2500
5 In 0.5000 0.0000 0.7500
6 In 0.5000 0.5000 0.0000
7 Se 0.0000 0.5000 0.7500
8 Se 0.5000 0.0000 0.2500



Ordering by calculated energy gives the sequence *1*, *2*, *3*, with the first entry being the most stable.



*1*
An optimized crystal structure of MgIn2Se. Source: the Alexandria database, functional GGA-PBE.

The calculation puts the total magnetization at 0.00 μB/f.u. Its symmetry is No. 225.

a = 7.5143 Å, b = 7.5143 Å, c = 7.5143 Å
α = 90.00°, β = 90.00°, γ = 90.00°
Fractional positions:
1 Mg 0.0000 0.0000 0.0000
2 Mg 0.0000 0.5000 0.5000
3 Mg 0.5000 0.0000 0.5000
4 Mg 0.5000 0.5000 0.0000
5 In 0.2500 0.2500 0.2500
6 In 0.2500 0.2500 0.7500
7 In 0.2500 0.7500 0.2500
8 In 0.2500 0.7500 0.7500
9 In 0.7500 0.2500 0.2500
10 In 0.7500 0.2500 0.7500
11 In 0.7500 0.7500 0.2500
12 In 0.7500 0.7500 0.7500
13 Se 0.0000 0.0000 0.5000
14 Se 0.0000 0.5000 0.0000
15 Se 0.5000 0.0000 0.0000
16 Se 0.5000 0.5000 0.5000



*2*
An optimized crystal structure of MgIn2Se. Source: the Alexandria database, functional GGA-PBE.

The calculation puts the total magnetization at 0.00 μB/f.u. Its symmetry is No. 123.

a = 3.6927 Å, b = 3.6927 Å, c = 7.2224 Å
α = 90.00°, β = 90.00°, γ = 90.00°
Fractional positions:
1 Mg 0.0000 0.0000 0.0000
2 In 0.5000 0.5000 0.2628
3 In 0.5000 0.5000 0.7372
4 Se 0.0000 0.0000 0.5000



Ordering by calculated energy gives the sequence *2*, *1*, with the first entry being the most stable.